(1)
{"formula": "B2CS", "functional": "PBE-GGA", "state": "relaxed", "dft_energy_ev_per_cell": -54.71, "raw_formation_energy_ev_per_atom": -0.162, "n_ef_per_ev_cell": 0.00, "sg": "I-42d (122)", "total_magnetization_mub_per_fu": 0.0, "lattice_angstrom": [[-3.174, 1.949, 1.842], [-2.544, -3.090, -1.114], [-2.021, -2.527, 3.879]], "species": ["S", "S", "B", "B", "B", "B", "C", "C"], "fractional_positions": [[0.000, 0.000, 0.000], [0.750, 0.250, 0.500], [0.561, 0.125, 0.250], [0.189, 0.625, 0.250], [0.375, 0.439, 0.750], [0.875, 0.811, 0.750], [0.500, 0.500, 0.000], [0.250, 0.750, 0.500]]}

---

(2)
{"formula": "V12Ga3Os", "functional": "PBE-GGA", "state": "relaxed", "dft_energy_ev_per_cell": -133.49, "n_ef_per_ev_cell": 22.79, "sg": "Pmmm (47)", "delta_e_f_ev_per_atom": -0.23, "total_magnetization_mub_per_fu": 0.0, "lattice_angstrom": [[-1.078, -1.552, -4.381], [4.659, -0.203, -1.075], [0.327, -9.041, 3.123]], "species": ["V", "V", "V", "V", "V", "V", "V", "V", "V", "V", "V", "V", "Ga", "Ga", "Ga", "Os"], "fractional_positions": [[0.500, 0.000, 0.379], [0.500, 0.000, 0.871], [0.749, 0.500, 0.000], [0.753, 0.500, 0.500], [0.000, 0.755, 0.253], [0.000, 0.755, 0.747], [0.500, 0.000, 0.129], [0.500, 0.000, 0.621], [0.251, 0.500, 0.000], [0.247, 0.500, 0.500], [0.000, 0.245, 0.253], [0.000, 0.245, 0.747], [0.500, 0.500, 0.249], [0.500, 0.500, 0.751], [0.000, 0.000, 0.000], [0.000, 0.000, 0.500]]}

---

(3)
{"formula": "Rb2CuGe", "functional": "PBE-GGA", "state": "relaxed", "dft_energy_ev_per_cell": -20.50, "n_ef_per_ev_cell": 6.53, "sg": "I-42d (122)", "delta_e_f_ev_per_atom": 0.10, "total_magnetization_mub_per_fu": 0.0, "lattice_angstrom": [[-9.657, 9.052, 0.977], [-4.245, -5.737, 11.190], [-5.579, 2.991, 7.288]], "species": ["Ge", "Ge", "Cu", "Cu", "Rb", "Rb", "Rb", "Rb"], "fractional_positions": [[0.000, 0.000, 0.000], [0.750, 0.250, 0.500], [0.500, 0.500, 0.000], [0.250, 0.750, 0.500], [0.408, 0.125, 0.250], [0.342, 0.625, 0.250], [0.375, 0.592, 0.750], [0.875, 0.658, 0.750]]}

---

(4)
{"formula": "NaBePtI2", "functional": "PBE-GGA", "state": "relaxed", "dft_energy_ev_per_cell": -15.15, "raw_formation_energy_ev_per_atom": -0.193, "n_ef_per_ev_cell": 1.25, "sg": "P4/mmm (123)", "total_magnetization_mub_per_fu": 0.0, "lattice_angstrom": [[5.726, 0.000, 0.000], [0.000, 4.314, 0.000], [0.000, 0.000, 5.726]], "species": ["I", "I", "Na", "Pt", "Be"], "fractional_positions": [[0.000, 0.000, 0.500], [0.500, 0.000, 0.000], [0.500, 0.500, 0.500], [0.000, 0.000, 0.000], [0.000, 0.500, 0.000]]}

---

(5)
{"formula": "BaLa3Ir", "functional": "PBE-GGA", "state": "relaxed", "dft_energy_ev_per_cell": -54.08, "n_ef_per_ev_cell": 10.56, "sg": "Pc (7)", "delta_e_f_ev_per_atom": -0.29, "total_magnetization_mub_per_fu": 0.0, "lattice_angstrom": [[-5.412, -1.453, 3.243], [-3.406, -1.842, -6.509], [2.375, -7.160, 0.757]], "species": ["Ir", "Ir", "Ba", "Ba", "La", "La", "La", "La", "La", "La"], "fractional_positions": [[0.869, 0.753, 0.803], [0.210, 0.753, 0.303], [0.485, 0.252, 0.321], [0.594, 0.252, 0.821], [0.091, 0.995, 0.020], [0.988, 0.995, 0.520], [0.455, 0.753, 0.650], [0.624, 0.753, 0.150], [0.989, 0.510, 0.522], [0.090, 0.510, 0.022]]}

---

(6)
{"formula": "AcTb2Pm6Pr3", "functional": "PBE-GGA", "state": "relaxed", "dft_energy_ev_per_cell": -55.94, "n_ef_per_ev_cell": 17.94, "sg": "C2/m (12)", "delta_e_f_ev_per_atom": 0.02, "total_magnetization_mub_per_fu": 0.0, "lattice_angstrom": [[-5.404, 1.686, 2.918], [3.185, -5.164, 1.938], [7.022, 7.932, 6.098]], "species": ["Ac", "Tb", "Tb", "Pm", "Pm", "Pm", "Pm", "Pm", "Pm", "Pr", "Pr", "Pr"], "fractional_positions": [[0.000, 0.000, 0.000], [0.333, 0.667, 0.000], [0.667, 0.333, 0.000], [0.916, 0.580, 0.750], [0.748, 0.748, 0.250], [0.084, 0.420, 0.250], [0.580, 0.916, 0.750], [0.252, 0.252, 0.750], [0.420, 0.084, 0.250], [0.167, 0.833, 0.500], [0.833, 0.167, 0.500], [0.500, 0.500, 0.500]]}

---

(7)
{"formula": "Pm3YHoSc", "functional": "PBE-GGA", "state": "relaxed", "dft_energy_ev_per_cell": -62.75, "n_ef_per_ev_cell": 18.38, "sg": "P2_1/m (11)", "delta_e_f_ev_per_atom": 0.04, "total_magnetization_mub_per_fu": 0.0, "lattice_angstrom": [[-2.363, -4.461, 0.082], [5.986, -3.244, -4.031], [0.794, -0.226, 10.601]], "species": ["Pm", "Pm", "Pm", "Pm", "Pm", "Pm", "Y", "Y", "Ho", "Ho", "Sc", "Sc"], "fractional_positions": [[0.750, 0.875, 0.044], [0.250, 0.125, 0.956], [0.250, 0.635, 0.458], [0.750, 0.365, 0.542], [0.750, 0.383, 0.210], [0.250, 0.617, 0.790], [0.250, 0.121, 0.297], [0.750, 0.879, 0.703], [0.250, 0.630, 0.128], [0.750, 0.370, 0.872], [0.250, 0.120, 0.621], [0.750, 0.880, 0.379]]}

---

(8)
{"formula": "TaCr2Te", "functional": "PBE-GGA", "state": "relaxed", "dft_energy_ev_per_cell": -32.07, "raw_formation_energy_ev_per_atom": 0.543, "n_ef_per_ev_cell": 4.56, "sg": "F-43m (216)", "total_magnetization_mub_per_fu": 1.0, "lattice_angstrom": [[-0.754, -4.490, 0.077], [0.616, -2.477, -3.771], [3.499, -2.901, -0.273]], "species": ["Cr", "Cr", "Ta", "Te"], "fractional_positions": [[0.000, 0.000, 0.000], [0.250, 0.250, 0.250], [0.500, 0.500, 0.500], [0.750, 0.750, 0.750]]}

---

(9)
{"formula": "La4Er5Tm2", "functional": "PBE-GGA", "state": "relaxed", "dft_energy_ev_per_cell": -50.89, "n_ef_per_ev_cell": 16.40, "sg": "C2/m (12)", "delta_e_f_ev_per_atom": 0.05, "total_magnetization_mub_per_fu": 0.0, "lattice_angstrom": [[-0.858, 3.506, 0.635], [-6.550, -4.450, -5.412], [-7.936, -8.745, 5.836]], "species": ["La", "La", "La", "La", "Er", "Er", "Er", "Er", "Er", "Tm", "Tm"], "fractional_positions": [[0.164, 0.118, 0.364], [0.412, 0.292, 0.080], [0.836, 0.882, 0.636], [0.588, 0.708, 0.920], [0.753, 0.130, 0.749], [0.247, 0.870, 0.251], [0.908, 0.657, 0.501], [0.500, 0.000, 0.000], [0.092, 0.343, 0.499], [0.388, 0.554, 0.223], [0.612, 0.446, 0.777]]}

---

(10)
{"formula": "Na2Te2Au3", "functional": "PBE-GGA", "state": "relaxed", "dft_energy_ev_per_cell": -20.91, "raw_formation_energy_ev_per_atom": -0.308, "n_ef_per_ev_cell": 2.88, "sg": "C2/m (12)", "total_magnetization_mub_per_fu": 0.0, "lattice_angstrom": [[-2.221, 2.982, -2.231], [-4.042, -4.450, 2.290], [2.016, 5.160, 4.891]], "species": ["Na", "Na", "Te", "Te", "Au", "Au", "Au"], "fractional_positions": [[0.882, 0.764, 0.241], [0.118, 0.236, 0.759], [0.838, 0.677, 0.776], [0.162, 0.323, 0.224], [0.500, 0.000, 0.000], [0.591, 0.183, 0.441], [0.409, 0.817, 0.559]]}

---

(11)
{"formula": "Hf2InCo", "functional": "PBE-GGA", "state": "relaxed", "dft_energy_ev_per_cell": -30.71, "n_ef_per_ev_cell": 3.53, "sg": "P4/mmm (123)", "delta_e_f_ev_per_atom": -0.24, "total_magnetization_mub_per_fu": 0.9, "lattice_angstrom": [[-0.358, -1.497, 2.628], [1.905, -2.168, -0.976], [6.249, 4.065, 3.167]], "species": ["Co", "Hf", "Hf", "In"], "fractional_positions": [[0.500, 0.500, 0.000], [0.000, 0.000, 0.795], [0.000, 0.000, 0.205], [0.500, 0.500, 0.500]]}

---

(12)
{"formula": "YGe3As", "functional": "PBE-GGA", "state": "relaxed", "dft_energy_ev_per_cell": -20.12, "n_ef_per_ev_cell": 5.41, "sg": "Pm-3m (221)", "delta_e_f_ev_per_atom": 0.97, "total_magnetization_mub_per_fu": 0.0, "lattice_angstrom": [[-3.299, 3.434, 2.516], [-2.637, 0.850, -4.618], [-3.342, -4.060, 1.161]], "species": ["Y", "As", "Ge", "Ge", "Ge"], "fractional_positions": [[0.000, 0.000, 0.000], [0.500, 0.500, 0.500], [0.000, 0.500, 0.000], [0.000, 0.000, 0.500], [0.500, 0.000, 0.000]]}

---

(13)
{"formula": "Ta2MnAl", "functional": "PBE-GGA", "state": "relaxed", "dft_energy_ev_per_cell": -36.06, "n_ef_per_ev_cell": 4.07, "sg": "R-3m (166)", "delta_e_f_ev_per_atom": 0.14, "total_magnetization_mub_per_fu": 0.8, "lattice_angstrom": [[8.772, 0.019, 0.011], [8.268, 2.932, 0.011], [8.268, 1.432, 2.558]], "species": ["Mn", "Al", "Ta", "Ta"], "fractional_positions": [[0.750, 0.750, 0.750], [0.250, 0.250, 0.250], [0.008, 0.008, 0.008], [0.492, 0.492, 0.492]]}

---

(14)
{"formula": "BaCoW3", "functional": "PBE-GGA", "state": "relaxed", "dft_energy_ev_per_cell": -26.97, "n_ef_per_ev_cell": 7.47, "sg": "Pm-3m (221)", "delta_e_f_ev_per_atom": 4.18, "total_magnetization_mub_per_fu": 0.0, "lattice_angstrom": [[-0.605, 3.725, -3.142], [-3.594, -2.479, -2.247], [-3.291, 2.023, 3.032]], "species": ["Co", "Ba", "W", "W", "W"], "fractional_positions": [[0.500, 0.500, 0.500], [0.000, 0.000, 0.000], [0.000, 0.500, 0.000], [0.000, 0.000, 0.500], [0.500, 0.000, 0.000]]}

---

(15)
{"formula": "TaCd2P", "functional": "PBE-GGA", "state": "relaxed", "dft_energy_ev_per_cell": -17.42, "n_ef_per_ev_cell": 2.01, "sg": "Cmmm (65)", "delta_e_f_ev_per_atom": 0.42, "total_magnetization_mub_per_fu": 0.0, "lattice_angstrom": [[-1.939, 2.014, -0.866], [-1.556, -2.366, 0.740], [-0.635, 3.156, 8.757]], "species": ["Cd", "Cd", "P", "Ta"], "fractional_positions": [[0.000, 0.000, 0.004], [0.000, 0.000, 0.496], [0.500, 0.500, 0.250], [0.500, 0.500, 0.750]]}

---

(16)
{"formula": "MgIn2Pd", "functional": "PBE-GGA", "state": "relaxed", "dft_energy_ev_per_cell": -110.08, "n_ef_per_ev_cell": 13.43, "sg": "Pnma (62)", "delta_e_f_ev_per_atom": -0.37, "total_magnetization_mub_per_fu": 0.0, "lattice_angstrom": [[5.322, 0.000, 0.000], [0.000, 8.455, 0.000], [0.000, 0.000, 15.132]], "species": ["Mg", "Mg", "Mg", "Mg", "Mg", "Mg", "Mg", "Mg", "In", "In", "In", "In", "In", "In", "In", "In", "In", "In", "In", "In", "In", "In", "In", "In", "Pd", "Pd", "Pd", "Pd", "Pd", "Pd", "Pd", "Pd"], "fractional_positions": [[0.460, 0.250, 0.139], [0.960, 0.750, 0.361], [0.540, 0.750, 0.861], [0.040, 0.250, 0.639], [0.755, 0.250, 0.388], [0.255, 0.750, 0.112], [0.245, 0.750, 0.612], [0.745, 0.250, 0.888], [0.972, 0.051, 0.212], [0.472, 0.949, 0.288], [0.028, 0.551, 0.788], [0.528, 0.449, 0.712], [0.028, 0.949, 0.788], [0.528, 0.051, 0.712], [0.972, 0.449, 0.212], [0.472, 0.551, 0.288], [0.742, 0.554, 0.035], [0.242, 0.446, 0.465], [0.258, 0.054, 0.965], [0.758, 0.946, 0.535], [0.258, 0.446, 0.965], [0.758, 0.554, 0.535], [0.742, 0.946, 0.035], [0.242, 0.054, 0.465], [0.261, 0.250, 0.315], [0.761, 0.750, 0.185], [0.739, 0.750, 0.685], [0.239, 0.250, 0.815], [0.949, 0.250, 0.067], [0.449, 0.750, 0.433], [0.051, 0.750, 0.933], [0.551, 0.250, 0.567]]}

---

(17)
{"formula": "ZrRuPtRh", "functional": "PBE-GGA", "state": "relaxed", "dft_energy_ev_per_cell": -33.82, "n_ef_per_ev_cell": 4.32, "sg": "Pmmm (47)", "delta_e_f_ev_per_atom": -0.65, "total_magnetization_mub_per_fu": 0.0, "lattice_angstrom": [[3.939, 0.000, 0.000], [0.000, 4.000, 0.000], [0.000, 0.000, 4.032]], "species": ["Zr", "Ru", "Pt", "Rh"], "fractional_positions": [[0.000, 0.500, 0.500], [0.500, 0.000, 0.500], [0.000, 0.000, 0.000], [0.500, 0.500, 0.000]]}

---

(18)
{"formula": "NdAl3ZnCu", "functional": "PBE-GGA", "state": "relaxed", "dft_energy_ev_per_cell": -44.52, "n_ef_per_ev_cell": 4.76, "sg": "Cmcm (63)", "delta_e_f_ev_per_atom": -0.15, "total_magnetization_mub_per_fu": 0.0, "lattice_angstrom": [[5.869, 0.000, 0.000], [0.000, 6.166, 0.000], [0.000, -3.083, 6.321]], "species": ["Nd", "Nd", "Al", "Al", "Al", "Al", "Al", "Al", "Zn", "Zn", "Cu", "Cu"], "fractional_positions": [[0.750, 0.291, 0.582], [0.250, 0.709, 0.418], [0.250, 0.135, 0.270], [0.000, 0.289, 0.000], [0.500, 0.711, 0.000], [0.500, 0.289, 0.000], [0.000, 0.711, 0.000], [0.750, 0.865, 0.730], [0.250, 0.347, 0.695], [0.750, 0.653, 0.305], [0.250, 0.928, 0.856], [0.750, 0.072, 0.144]]}

---

(19)
{"formula": "ZrTi2Ga", "functional": "PBE-GGA", "state": "relaxed", "dft_energy_ev_per_cell": -27.65, "n_ef_per_ev_cell": 5.03, "sg": "R3m (160)", "delta_e_f_ev_per_atom": -0.07, "total_magnetization_mub_per_fu": 0.0, "lattice_angstrom": [[3.049, 0.000, 0.000], [1.524, 2.640, 0.000], [1.524, 0.880, 9.275]], "species": ["Zr", "Ti", "Ti", "Ga"], "fractional_positions": [[0.500, 0.500, 0.501], [0.079, 0.079, 0.763], [0.254, 0.254, 0.237], [0.667, 0.667, 0.000]]}

---

(20)
{"formula": "LaHfAg", "functional": "PBE-GGA", "state": "relaxed", "dft_energy_ev_per_cell": -35.53, "n_ef_per_ev_cell": 8.82, "sg": "Amm2 (38)", "delta_e_f_ev_per_atom": -0.01, "total_magnetization_mub_per_fu": 0.0, "lattice_angstrom": [[8.853, 0.000, 0.010], [0.000, 3.386, 0.000], [1.560, 0.000, 5.033]], "species": ["Hf", "Hf", "Ag", "Ag", "La", "La"], "fractional_positions": [[0.439, 0.760, 0.288], [0.439, 0.260, 0.788], [0.163, 0.761, 0.928], [0.714, 0.761, 0.651], [0.790, 0.261, 0.113], [0.087, 0.261, 0.466]]}